## Pr7Bi2Te2 (GGA-PBE)

Data for a geometry-optimized Pr7Bi2Te2 structure.

Calculated values
* final energy: -4.908 eV per atom
* mass density: 6.926 Mg/m³
* energy relative to the elements, uncorrected: -626 kJ/mol of formula units
* space-group type: Cmmm, No. 65

Cell: 7.549 7.549 7.083 Å, 90.00 90.00 99.70°
Atoms (fractional coordinates):
Pr: 0.000 0.000 0.000
Pr: 0.000 0.500 0.267
Pr: 0.000 0.500 0.733
Pr: 0.500 0.000 0.267
Pr: 0.500 0.000 0.733
Pr: 0.500 0.500 0.258
Pr: 0.500 0.500 0.742
Bi: 0.193 0.193 0.500
Bi: 0.807 0.807 0.500
Te: 0.275 0.725 0.000
Te: 0.725 0.275 0.000

---

## MgRhSe2 (GGA-PBE)

Data for a geometry-optimized MgRhSe2 structure.

Calculated values
* final energy: -4.395 eV per atom
* mass density: 6.221 Mg/m³
* energy relative to the elements, uncorrected: -161 kJ/mol of formula units
* space-group type: Imm2, No. 44

Cell: 6.746 6.746 6.746 Å, 150.49 149.69 42.81°
Atoms (fractional coordinates):
Mg: 0.000 0.000 0.000
Rh: 0.246 0.746 0.500
Se: 0.414 0.414 0.000
Se: 0.677 0.177 0.500